# 1
Below is an optimized crystal structure of MnZn2Re, with properties calculated at the GGA-PBEsol level.

abc: 2.6107 2.6107 8.2550
angles: 90.00 90.00 106.84
Atoms (fractional coordinates):
1 Mn 0.0000 0.0000 0.0000
2 Zn 0.0000 0.0000 0.5007
3 Zn 0.5000 0.5000 0.2401
4 Re 0.5000 0.5000 0.7660

Properties
- E above lowest polymorph: 45 meV per atom
- Crystal system: orthorhombic
- Magnetization: 2.08 μB/f.u.
- Energy of formation from the pure elements: 0.59 eV per formula unit
- Electronic total energy: -6.42 eV/atom
- V: 54 Å³ per cell

# 2
Below is an optimized crystal structure of SrGaGeH, with properties calculated at the GGA-PBEsol level.

abc: 4.1945 4.1945 4.8507
angles: 90.00 90.00 120.00
Atoms (fractional coordinates):
1 Sr 0.0000 0.0000 0.0000
2 Ga 0.6667 0.3333 0.4429
3 Ge 0.3333 0.6667 0.5616
4 H 0.6667 0.3333 0.0836

Properties
- Crystal system: trigonal
- Magnetization: 0.00 μB/f.u.
- Electronic total energy: -3.88 eV/atom
- V: 74 Å³ per cell

# 3
Below is an optimized crystal structure of ReRuAu2, with properties calculated at the GGA-PBEsol level.

abc: 4.9198 4.9198 2.7751
angles: 90.00 90.00 114.67
Atoms (fractional coordinates):
1 Re 0.0000 0.0000 0.0000
2 Ru 0.5000 0.5000 0.0000
3 Au 0.0000 0.5000 0.5000
4 Au 0.5000 0.0000 0.5000

Properties
- E above lowest polymorph: 82 meV per atom
- Crystal system: orthorhombic
- Magnetization: 0.00 μB/f.u.
- Energy of formation from the pure elements: 2.20 eV per formula unit
- Electronic total energy: -7.29 eV/atom
- V: 61 Å³ per cell

# 4
Below is an optimized crystal structure of CsTiAlO4, with properties calculated at the GGA-PBEsol level.

abc: 7.2684 7.2684 7.2684
angles: 133.31 104.56 93.59
Atoms (fractional coordinates):
1 Cs 0.0000 0.0000 0.0000
2 Cs 0.6056 0.1056 0.5000
3 Ti 0.0082 0.7141 0.2941
4 Ti 0.4200 0.7141 0.7059
5 Al 0.1847 0.3722 0.8125
6 Al 0.5597 0.3722 0.1875
7 O 0.0249 0.0544 0.4756
8 O 0.0249 0.5493 0.9705
9 O 0.2049 0.7049 0.5000
10 O 0.3258 0.5467 0.7791
11 O 0.3330 0.3330 0.0000
12 O 0.5788 0.0544 0.0295
13 O 0.5788 0.5493 0.5244
14 O 0.7675 0.5467 0.2209

Properties
- Crystal system: orthorhombic
- Magnetization: 0.04 μB/f.u.
- Electronic total energy: -7.72 eV/atom
- Energy relative to the elements, uncorrected: -2.81 eV/atom
- V: 255 Å³ per cell

# 5
Below is an optimized crystal structure of Ba2Au, with properties calculated at the GGA-PBEsol level.

abc: 7.6506 7.6506 7.8189
angles: 90.00 90.00 147.68
Atoms (fractional coordinates):
1 Ba 0.0147 0.9853 0.5000
2 Ba 0.2746 0.7254 0.3330
3 Ba 0.7254 0.2746 0.8330
4 Ba 0.9853 0.0147 0.0000
5 Au 0.3861 0.6139 0.7206
6 Au 0.6139 0.3861 0.2206

Properties
- Crystal system: orthorhombic
- Magnetization: 0.00 μB/f.u.
- Energy of formation from the pure elements: -1.35 eV per formula unit
- Electronic total energy: -3.19 eV/atom
- V: 245 Å³ per cell

# 6
Below is an optimized crystal structure of MgSi2P, with properties calculated at the GGA-PBEsol level.

abc: 4.4631 4.4631 4.4631
angles: 60.00 60.00 60.00
Atoms (fractional coordinates):
1 Mg 0.0000 0.0000 0.0000
2 Si 0.5000 0.5000 0.5000
3 Si 0.7500 0.7500 0.7500
4 P 0.2500 0.2500 0.2500

Properties
- E above lowest polymorph: 168 meV per atom
- Crystal system: cubic
- Magnetization: 0.00 μB/f.u.
- Electronic total energy: -4.47 eV/atom
- Energy relative to the elements, uncorrected: 0.28 eV/atom
- V: 63 Å³ per cell